No. 1
## Tb5Sb4Se (PBE)

Data for Tb5Sb4Se after structural relaxation.

Calculated values
crystal system	tetragonal
space-group type	No. 87
volume	28.99	Å³ per atom
E_tot	-56.015	eV for the cell shown

Lattice parameters (Å, degrees): 7.5225 7.5225 7.5225 99.62 99.62 131.74
With the nearest neighbours (Å) after each atom.
Fractional positions:
Tb 0.0000 0.0000 0.0000  4 Sb 3.07, 2 Se 3.08
Tb 0.2056 0.5998 0.8054  1 Se 3.02, 5 Sb 3.08-3.10
Tb 0.4002 0.2056 0.6058  1 Se 3.02, 5 Sb 3.08-3.10
Tb 0.5998 0.7944 0.3942  1 Se 3.02, 5 Sb 3.08-3.10
Tb 0.7944 0.4002 0.1946  1 Se 3.02, 5 Sb 3.08-3.10
Sb 0.0975 0.3003 0.3978  6 Tb 3.07-3.10
Sb 0.3003 0.9025 0.2028  6 Tb 3.07-3.10
Sb 0.6997 0.0975 0.7972  6 Tb 3.07-3.10
Sb 0.9025 0.6997 0.6022  6 Tb 3.07-3.10
Se 0.5000 0.5000 0.0000  6 Tb 3.02-3.08

No. 2
## Tb3Sb2Se (PBE)

Data for Tb3Sb2Se after structural relaxation.

Calculated values
crystal system	trigonal
space-group type	No. 164
volume	28.12	Å³ per atom
distance to the lowest polymorph of the same formula	0.0072	eV per atom
E_tot	-33.805	eV for the cell shown

Lattice parameters (Å, degrees): 4.3107 4.3107 10.4849 90.00 90.00 120.00
With the nearest neighbours (Å) after each atom.
Fractional positions:
Tb 0.0000 0.0000 0.0000  6 Sb 3.08
Tb 0.3333 0.6667 0.3440  3 Se 2.98, 3 Sb 3.07
Tb 0.6667 0.3333 0.6560  3 Se 2.98, 3 Sb 3.07
Sb 0.3333 0.6667 0.8269  6 Tb 3.07-3.08
Sb 0.6667 0.3333 0.1731  6 Tb 3.07-3.08
Se 0.0000 0.0000 0.5000  6 Tb 2.98

No. 3
## Tb3Sb2Se (PBE)

Data for Tb3Sb2Se after structural relaxation.

Calculated values
crystal system	orthorhombic
space-group type	No. 71
volume	28.18	Å³ per atom
distance to the lowest polymorph of the same formula	0.0000	eV per atom
E_tot	-33.848	eV for the cell shown

Lattice parameters (Å, degrees): 7.4420 7.4420 7.4420 146.36 131.62 60.22
With the nearest neighbours (Å) after each atom.
Fractional positions:
Tb 0.0000 0.0000 0.0000  2 Se 3.05, 4 Sb 3.06
Tb 0.3392 0.3392 0.0000  2 Se 2.99, 4 Sb 3.05-3.07
Tb 0.6608 0.6608 0.0000  2 Se 2.99, 4 Sb 3.05-3.07
Sb 0.1688 0.6688 0.5000  6 Tb 3.05-3.07
Sb 0.8312 0.3312 0.5000  6 Tb 3.05-3.07
Se 0.5000 0.0000 0.5000  6 Tb 2.99-3.05

No. 4
## TbTlSbSe3 (PBE)

Data for TbTlSbSe3 after structural relaxation.

Calculated values
crystal system	orthorhombic
space-group type	No. 63
volume	29.26	Å³ per atom
E_tot	-53.009	eV for the cell shown

Lattice parameters (Å, degrees): 7.6908 7.6908 11.7998 90.00 90.00 149.80
With the nearest neighbours (Å) after each atom.
Fractional positions:
Tb 0.0000 0.0000 0.0000  6 Se 2.85-2.96
Tb 0.0000 0.0000 0.5000  6 Se 2.85-2.96
Tl 0.3121 0.6879 0.7500  4 Se 3.20-3.22, 2 Sb 3.39
Tl 0.6879 0.3121 0.2500  4 Se 3.20-3.22, 2 Sb 3.39
Sb 0.3723 0.6277 0.2500  4 Se 2.80-2.95
Sb 0.6277 0.3723 0.7500  4 Se 2.80-2.95
Se 0.0179 0.9821 0.2500  2 Sb 2.95, 2 Tb 2.96, 2 Tl 3.22
Se 0.3644 0.6356 0.0129  1 Sb 2.80, 2 Tb 2.85
Se 0.3644 0.6356 0.4871  1 Sb 2.80, 2 Tb 2.85
Se 0.6356 0.3644 0.5129  1 Sb 2.80, 2 Tb 2.85
Se 0.6356 0.3644 0.9871  1 Sb 2.80, 2 Tb 2.85
Se 0.9821 0.0179 0.7500  2 Sb 2.95, 2 Tb 2.96, 2 Tl 3.22

No. 5
## Th2SbSe (PBE)

Data for Th2SbSe after structural relaxation.

Calculated values
crystal system	monoclinic
space-group type	No. 12
volume	29.25	Å³ per atom
E_tot	-27.326	eV for the cell shown

Lattice parameters (Å, degrees): 4.3870 4.3870 7.4599 107.15 107.15 60.08
With the nearest neighbours (Å) after each atom.
Fractional positions:
Th 0.2423 0.2423 0.2265  3 Se 2.99, 3 Sb 3.18
Th 0.7577 0.7577 0.7735  3 Se 2.99, 3 Sb 3.18
Sb 0.0000 0.0000 0.5000  6 Th 3.18
Se 0.5000 0.5000 0.0000  6 Th 2.99

No. 6
## Th2Sb4Se (PBE)

Data for Th2Sb4Se after structural relaxation.

Calculated values
crystal system	tetragonal
space-group type	No. 139
volume	42.43	Å³ per atom
E_tot	-33.121	eV for the cell shown

Lattice parameters (Å, degrees): 7.3460 7.3460 7.3460 115.21 115.21 98.52
With the nearest neighbours (Å) after each atom.
Fractional positions:
Th 0.2500 0.7500 0.5000  4 Sb 3.06
Th 0.7500 0.2500 0.5000  4 Sb 3.06
Sb 0.0000 0.2584 0.2584  2 Sb 2.88, 2 Th 3.06
Sb 0.0000 0.7416 0.7416  2 Sb 2.88, 2 Th 3.06
Sb 0.2584 0.0000 0.2584  2 Sb 2.88, 2 Th 3.06
Sb 0.7416 0.0000 0.7416  2 Sb 2.88, 2 Th 3.06
Se 0.5000 0.5000 0.0000  8 Sb 4.37, 8 Th 4.61

No. 7
## TmTlSbSe3 (PBE)

Data for TmTlSbSe3 after structural relaxation.

Calculated values
crystal system	orthorhombic
space-group type	No. 63
volume	28.81	Å³ per atom
E_tot	-52.698	eV for the cell shown

Lattice parameters (Å, degrees): 7.7593 7.7593 11.7143 90.00 90.00 150.65
With the nearest neighbours (Å) after each atom.
Fractional positions:
Tm 0.0000 0.0000 0.0000  6 Se 2.80-2.94
Tm 0.0000 0.0000 0.5000  6 Se 2.80-2.94
Tl 0.3123 0.6877 0.7500  4 Se 3.17-3.25, 2 Sb 3.39
Tl 0.6877 0.3123 0.2500  4 Se 3.17-3.25, 2 Sb 3.39
Sb 0.3718 0.6282 0.2500  4 Se 2.80-2.92
Sb 0.6282 0.3718 0.7500  4 Se 2.80-2.92
Se 0.0155 0.9845 0.2500  2 Sb 2.92, 2 Tm 2.94, 2 Tl 3.25
Se 0.3678 0.6322 0.0108  2 Tm 2.80, 1 Sb 2.80
Se 0.3678 0.6322 0.4892  2 Tm 2.80, 1 Sb 2.80
Se 0.6322 0.3678 0.5108  2 Tm 2.80, 1 Sb 2.80
Se 0.6322 0.3678 0.9892  2 Tm 2.80, 1 Sb 2.80
Se 0.9845 0.0155 0.7500  2 Sb 2.92, 2 Tm 2.94, 2 Tl 3.25

No. 8
## Tm3SbSe2 (PBE)

Data for Tm3SbSe2 after structural relaxation.

Calculated values
crystal system	trigonal
space-group type	No. 164
volume	24.72	Å³ per atom
E_tot	-33.275	eV for the cell shown

Lattice parameters (Å, degrees): 4.1383 4.1383 10.0019 90.00 90.00 120.00
With the nearest neighbours (Å) after each atom.
Fractional positions:
Tm 0.0000 0.0000 0.0000  6 Se 2.87
Tm 0.3333 0.6667 0.3188  3 Se 2.88, 3 Sb 3.00
Tm 0.6667 0.3333 0.6812  3 Se 2.88, 3 Sb 3.00
Sb 0.0000 0.0000 0.5000  6 Tm 3.00
Se 0.3333 0.6667 0.8417  6 Tm 2.87-2.88
Se 0.6667 0.3333 0.1583  6 Tm 2.87-2.88

No. 9
## Tm3SbSe (PBE)

Data for Tm3SbSe after structural relaxation.

Calculated values
crystal system	cubic
space-group type	No. 221
volume	28.69	Å³ per atom
E_tot	-23.541	eV for the cell shown

Lattice parameters (Å, degrees): 5.2349 5.2349 5.2349 90.00 90.00 90.00
With the nearest neighbours (Å) after each atom.
Fractional positions:
Tm 0.0000 0.0000 0.5000  2 Se 2.62
Tm 0.0000 0.5000 0.0000  2 Se 2.62
Tm 0.5000 0.0000 0.0000  2 Se 2.62
Sb 0.5000 0.5000 0.5000  12 Tm 3.70
Se 0.0000 0.0000 0.0000  6 Tm 2.62

No. 10
## Tm5Sb4Se (PBE)

Data for Tm5Sb4Se after structural relaxation.

Calculated values
crystal system	tetragonal
space-group type	No. 87
volume	27.66	Å³ per atom
E_tot	-54.371	eV for the cell shown

Lattice parameters (Å, degrees): 7.4057 7.4057 7.4057 99.63 99.63 131.73
With the nearest neighbours (Å) after each atom.
Fractional positions:
Tm 0.0000 0.0000 0.0000  4 Sb 3.02, 2 Se 3.03
Tm 0.2062 0.4001 0.6064  1 Se 2.97, 5 Sb 3.03-3.05
Tm 0.4001 0.7938 0.1939  1 Se 2.97, 5 Sb 3.03-3.05
Tm 0.5999 0.2062 0.8061  1 Se 2.97, 5 Sb 3.03-3.05
Tm 0.7938 0.5999 0.3936  1 Se 2.97, 5 Sb 3.03-3.05
Sb 0.0973 0.6996 0.7969  6 Tm 3.02-3.05
Sb 0.3004 0.0973 0.3977  6 Tm 3.02-3.05
Sb 0.6996 0.9027 0.6023  6 Tm 3.02-3.05
Sb 0.9027 0.3004 0.2031  6 Tm 3.02-3.05
Se 0.5000 0.5000 0.0000  6 Tm 2.97-3.03

No. 11
## Tm3Sb2Se (PBE)

Data for Tm3Sb2Se after structural relaxation.

Calculated values
crystal system	trigonal
space-group type	No. 164
volume	26.80	Å³ per atom
E_tot	-32.783	eV for the cell shown

Lattice parameters (Å, degrees): 4.2447 4.2447 10.3035 90.00 90.00 120.00
With the nearest neighbours (Å) after each atom.
Fractional positions:
Tm 0.0000 0.0000 0.0000  6 Sb 3.04
Tm 0.3333 0.6667 0.3439  3 Se 2.93, 3 Sb 3.01
Tm 0.6667 0.3333 0.6561  3 Se 2.93, 3 Sb 3.01
Sb 0.3333 0.6667 0.8261  6 Tm 3.01-3.04
Sb 0.6667 0.3333 0.1739  6 Tm 3.01-3.04
Se 0.0000 0.0000 0.5000  6 Tm 2.93

No. 12
## Zr5Sb3Se (PBE)

Data for Zr5Sb3Se after structural relaxation.

Calculated values
crystal system	hexagonal
space-group type	No. 193
volume	21.69	Å³ per atom
E_tot	-132.327	eV for the cell shown

Lattice parameters (Å, degrees): 8.5654 8.5654 6.1447 90.00 90.00 120.00
With the nearest neighbours (Å) after each atom.
Fractional positions:
Zr 0.0000 0.2619 0.2500  2 Se 2.72, 3 Sb 2.94-2.98
Zr 0.0000 0.7381 0.7500  2 Se 2.72, 3 Sb 2.94-2.98
Zr 0.2619 0.0000 0.2500  2 Se 2.72, 3 Sb 2.94-2.98
Zr 0.2619 0.2619 0.7500  2 Se 2.72, 3 Sb 2.94-2.98
Zr 0.3333 0.6667 0.0000  6 Sb 3.05, 2 Zr 3.07
Zr 0.3333 0.6667 0.5000  6 Sb 3.05, 2 Zr 3.07
Zr 0.6667 0.3333 0.0000  6 Sb 3.05, 2 Zr 3.07
Zr 0.6667 0.3333 0.5000  6 Sb 3.05, 2 Zr 3.07
Zr 0.7381 0.0000 0.7500  2 Se 2.72, 3 Sb 2.94-2.98
Zr 0.7381 0.7381 0.2500  2 Se 2.72, 3 Sb 2.94-2.98
Sb 0.0000 0.3950 0.7500  9 Zr 2.94-3.28
Sb 0.0000 0.6050 0.2500  9 Zr 2.94-3.28
Sb 0.3950 0.0000 0.7500  9 Zr 2.94-3.28
Sb 0.3950 0.3950 0.2500  9 Zr 2.94-3.28
Sb 0.6050 0.0000 0.2500  9 Zr 2.94-3.28
Sb 0.6050 0.6050 0.7500  9 Zr 2.94-3.28
Se 0.0000 0.0000 0.0000  6 Zr 2.72
Se 0.0000 0.0000 0.5000  6 Zr 2.72

No. 13
## SmSiSb (PBE)

Data for SmSiSb after structural relaxation.

Calculated values
crystal system	cubic
space-group type	No. 216
volume	29.76	Å³ per atom
distance to the lowest polymorph of the same formula	0.1760	eV per atom
E_tot	-14.241	eV for the cell shown

Lattice parameters (Å, degrees): 5.0166 5.0166 5.0166 60.00 60.00 60.00
With the nearest neighbours (Å) after each atom.
Fractional positions:
Sm 0.0000 0.0000 0.0000  4 Sb 3.07, 4 Si 3.07
Si 0.2500 0.2500 0.2500  4 Sm 3.07
Sb 0.7500 0.7500 0.7500  4 Sm 3.07